# ZnCoIO2

ZnCoIO2 after structural relaxation (PBE+U, the Alexandria database).

Values from the calculation:
- DFT total energy: -17.4 eV/f.u.
- ΔE to the lowest computed polymorph: 202 meV per atom
- Total magnetization: 3.31 Bohr magnetons per cell

Cell lengths 3.8194, 3.8194, 6.5836 Å; angles 90.00, 90.00, 90.00 degrees
Space group P4/mmm (No. 123)
Symmetry-distinct sites (fractional):
Zn 0.0000 0.0000 0.0000 x1
Co 0.5000 0.5000 0.5000 x1
I 0.0000 0.0000 0.5000 x1
O 0.0000 0.5000 0.0000 x2